Entry 1:
The following is a DFT calculation (PBE) of a geometry-optimized AcLaPm2Tl4 structure.

abc: 5.6251 5.6251 9.7411
angles: 73.22 73.22 60.00
Last column: nearest neighbours and their distance in Å.
Element x y z (fractional)
Ac: 0.0000 0.0000 0.0000  8 Tl 3.46-3.49
La: 0.5000 0.5000 0.5000  8 Tl 3.39-3.43
Pm: 0.7503 0.7503 0.7492  8 Tl 3.39-3.50
Pm: 0.2497 0.2497 0.2508  8 Tl 3.39-3.50
Tl: 0.3769 0.3769 0.8694  1 La 3.39, 4 Pm 3.43-3.50, 3 Ac 3.46
Tl: 0.8734 0.8734 0.3796  4 Pm 3.39-3.46, 3 La 3.43, 1 Ac 3.49
Tl: 0.1266 0.1266 0.6204  4 Pm 3.39-3.46, 3 La 3.43, 1 Ac 3.49
Tl: 0.6231 0.6231 0.1306  1 La 3.39, 4 Pm 3.43-3.50, 3 Ac 3.46

Computed properties:
theoretical density	9.72	g/cm3
symmetry	R-3m
volume	251.7	Å³/cell
N(E_F)	0.9726	states/eV per atom
energy of formation from the pure elements	-0.373	eV/atom

***

Entry 2:
The following is a DFT calculation (PBE) of a geometry-optimized LiInAg2 structure.

abc: 4.0799 4.0799 10.2397
angles: 78.51 78.51 90.00
Last column: nearest neighbours and their distance in Å.
Element x y z (fractional)
Li: 0.5000 0.5000 0.0000  4 Ag 2.84, 4 In 2.88
Li: 0.2500 0.7500 0.5000  4 Ag 2.84, 4 In 2.88
Ag: 0.6204 0.1250 0.2500  2 Li 2.84, 2 In 2.86, 4 Ag 2.86-2.91
Ag: 0.1296 0.6250 0.2500  2 Li 2.84, 2 In 2.86, 4 Ag 2.86-2.91
Ag: 0.3750 0.3796 0.7500  2 Li 2.84, 2 In 2.86, 4 Ag 2.86-2.91
Ag: 0.8750 0.8704 0.7500  2 Li 2.84, 2 In 2.86, 4 Ag 2.86-2.91
In: 0.0000 0.0000 0.0000  4 Ag 2.86, 4 Li 2.88
In: 0.7500 0.2500 0.5000  4 Ag 2.86, 4 Li 2.88

Computed properties:
theoretical density	6.85	g/cm3
symmetry	I-42d
volume	163.5	Å³/cell
N(E_F)	0.3389	states/eV per atom
energy of formation from the pure elements	0.022	eV/atom

***

Entry 3:
The following is a DFT calculation (PBE) of a geometry-optimized BaHoSn2 structure.

abc: 5.0647 5.0647 7.0715
angles: 69.02 69.02 60.00
Last column: nearest neighbours and their distance in Å.
Element x y z (fractional)
Ho: 0.0000 0.0000 0.0000  6 Sn 3.13
Sn: 0.2758 0.2758 0.1727  3 Ho 3.13
Sn: 0.7242 0.7242 0.8273  3 Ho 3.13
Ba: 0.5000 0.5000 0.5000  6 Sn 3.60

Computed properties:
theoretical density	6.27	g/cm3
symmetry	R-3m
volume	143.0	Å³/cell
N(E_F)	1.1268	states/eV per atom
energy of formation from the pure elements	-0.466	eV/atom

***

Entry 4:
The following is a DFT calculation (PBE) of a geometry-optimized CdRu2Se structure.

abc: 5.3155 5.3155 5.3155
angles: 147.13 124.62 65.92
Last column: nearest neighbours and their distance in Å.
Element x y z (fractional)
Cd: 0.2500 0.7500 0.5000  4 Se 2.89, 8 Ru 2.91-3.16, 2 Cd 3.01
Ru: 0.9707 0.9707 0.0000  2 Se 2.48
Ru: 0.5293 0.5293 0.0000  2 Se 2.48
Se: 0.7500 0.2500 0.5000  4 Ru 2.48

Computed properties:
theoretical density	9.86	g/cm3
symmetry	Immm
ΔE_f (raw)	0.443	eV/atom
volume	66.3	Å³/cell
N(E_F)	0.8822	states/eV per atom